# In2IrAu PBE-GGA optimized geometry
# E: -4.41 eV/atom
# calculated volume: 150 Å³ per cell
data_In2IrAu
_chemical_formula_sum 'In4 Ir2 Au2'
_cell_length_a 6.858
_cell_length_b 7.072
_cell_length_c 3.083
_cell_angle_alpha 90.00
_cell_angle_beta 90.00
_cell_angle_gamma 90.00
_space_group_name_H-M_alt 'C m m m'
_space_group_IT_number 65
_space_group_name_Hall '-C 2 2'
loop_
_atom_site_label
_atom_site_fract_x
_atom_site_fract_y
_atom_site_fract_z
In1 0.250 0.250 0.000
Ir1 0.000 0.000 0.500
Au1 0.000 0.500 0.500

***

# InIrAu PBE-GGA optimized geometry
# E: -4.80 eV/atom
# calculated volume: 251 Å³ per cell
data_InIrAu
_chemical_formula_sum 'In4 Ir4 Au4'
_cell_length_a 6.308
_cell_length_b 6.308
_cell_length_c 6.308
_cell_angle_alpha 90.00
_cell_angle_beta 90.00
_cell_angle_gamma 90.00
_space_group_name_H-M_alt 'F -4 3 m'
_space_group_IT_number 216
_space_group_name_Hall 'F -4 2 3'
loop_
_atom_site_label
_atom_site_fract_x
_atom_site_fract_y
_atom_site_fract_z
In1 0.000 0.000 0.000
Ir1 0.250 0.250 0.750
Au1 0.000 0.000 0.500

***

# InIr2Au PBE-GGA optimized geometry
# E: -5.67 eV/atom
# calculated volume: 67 Å³ per cell
data_InIr2Au
_chemical_formula_sum 'In1 Ir2 Au1'
_cell_length_a 2.961
_cell_length_b 3.876
_cell_length_c 5.830
_cell_angle_alpha 90.00
_cell_angle_beta 90.00
_cell_angle_gamma 90.00
_space_group_name_H-M_alt 'P m m m'
_space_group_IT_number 47
_space_group_name_Hall '-P 2 2'
loop_
_atom_site_label
_atom_site_fract_x
_atom_site_fract_y
_atom_site_fract_z
In1 0.000 0.000 0.000
Ir1 0.500 0.500 0.249
Au1 0.000 0.000 0.500